DFT (PBE) results for an optimized crystal structure of SnTe3Se.

a = 5.4814 Å, b = 5.4814 Å, c = 5.4814 Å
α = 90.00°, β = 90.00°, γ = 90.00°
Last column: nearest neighbours and their distance in Å.
Space group Pm-3m (No. 221)
Unique sites:
1 Sn 0.0000 0.0000 0.0000 x1  12 Te 3.88
2 Te 0.0000 0.5000 0.5000 x3  2 Se 2.74
3 Se 0.5000 0.5000 0.5000 x1  6 Te 2.74

Results
Magnetization   0.000 μB per atom
Total DFT energy (no corrections)   -15.23 eV per cell
Formation energy without anion corrections   0.3366 eV/atom
Energy above the most stable polymorph in this dataset   0.0 meV per atom